A geometry-optimized Cr2AsO6 structure. Source: Alexandria via LeMat-Bulk, functional PBE+U.

Results
DFT total energy	-7.0260	eV per atom
DOS at the Fermi energy	0.34	states/eV/atom

Cell lengths 4.5055, 4.5055, 8.8936 Å; angles 90.00, 90.00, 90.00 degrees
Fractional positions:
Cr  0.0000  0.0000  0.1659
Cr  0.0000  0.0000  0.8341
Cr  0.5000  0.5000  0.3341
Cr  0.5000  0.5000  0.6659
As  0.0000  0.0000  0.5000
As  0.5000  0.5000  0.0000
O  0.1897  0.1897  0.3410
O  0.1897  0.1897  0.6590
O  0.2052  0.2052  0.0000
O  0.2948  0.7052  0.5000
O  0.3103  0.6897  0.1590
O  0.3103  0.6897  0.8410
O  0.6897  0.3103  0.1590
O  0.6897  0.3103  0.8410
O  0.7052  0.2948  0.5000
O  0.7948  0.7948  0.0000
O  0.8103  0.8103  0.3410
O  0.8103  0.8103  0.6590